No. 1
## Y2TiAuSe (GGA-PBE)

Data for crystalline Y2TiAuSe at its relaxed geometry.

a = 5.4796 Å, b = 5.4796 Å, c = 4.6781 Å
α = 90.00°, β = 90.00°, γ = 90.00°
Sites, in units of the cell vectors:
Y (0.0000, 0.5000, 0.0000)
Y (0.5000, 0.0000, 0.0000)
Ti (0.0000, 0.0000, 0.0000)
Au (0.0000, 0.0000, 0.5000)
Se (0.5000, 0.5000, 0.5000)

Summary:
Raw formation energy (meV/atom): 189

No. 2
## Ba2GaRhO5 (GGA-PBE)

Data for crystalline Ba2GaRhO5 at its relaxed geometry.

a = 7.7640 Å, b = 7.7640 Å, c = 10.8299 Å
α = 90.00°, β = 90.00°, γ = 154.42°
Sites, in units of the cell vectors:
Ba (0.1177, 0.8823, 0.5000)
Ba (0.1336, 0.8664, 0.1321)
Ba (0.8664, 0.1336, 0.6321)
Ba (0.8823, 0.1177, 0.0000)
Ga (0.4337, 0.5663, 0.2727)
Ga (0.5663, 0.4337, 0.7727)
Rh (0.2108, 0.7892, 0.8460)
Rh (0.7892, 0.2108, 0.3460)
O (0.0638, 0.9362, 0.8578)
O (0.2887, 0.7113, 0.4623)
O (0.3102, 0.6898, 0.2257)
O (0.3463, 0.6537, 0.8237)
O (0.4943, 0.5057, 0.1277)
O (0.5057, 0.4943, 0.6277)
O (0.6537, 0.3463, 0.3237)
O (0.6898, 0.3102, 0.7257)
O (0.7113, 0.2887, 0.9623)
O (0.9362, 0.0638, 0.3578)

Summary:
Raw formation energy (meV/atom): -1858

No. 3
## OsAu (GGA-PBE)

Data for crystalline OsAu at its relaxed geometry.

a = 2.8249 Å, b = 2.8249 Å, c = 3.9827 Å
α = 90.00°, β = 90.00°, γ = 90.00°
Sites, in units of the cell vectors:
Os (0.0000, 0.0000, 0.0000)
Au (0.5000, 0.5000, 0.5000)

Summary:
Energy relative to the elements (eV per atom): 0.85

No. 4
## ZrCrCo (GGA-PBE)

Data for crystalline ZrCrCo at its relaxed geometry.

a = 8.3205 Å, b = 4.8642 Å, c = 4.8642 Å
α = 61.64°, β = 90.00°, γ = 90.00°
Sites, in units of the cell vectors:
Zr (0.1833, 0.0000, 0.0000)
Zr (0.3101, 0.6668, 0.6668)
Zr (0.6899, 0.6668, 0.6668)
Zr (0.8167, 0.0000, 0.0000)
Cr (0.0000, 0.4880, 0.4880)
Cr (0.5000, 0.1619, 0.1619)
Cr (0.5000, 0.1653, 0.6701)
Cr (0.5000, 0.6701, 0.1653)
Co (0.0000, 0.4906, 0.9853)
Co (0.0000, 0.9853, 0.4906)
Co (0.2439, 0.3360, 0.3360)
Co (0.7561, 0.3360, 0.3360)

Summary:
Energy relative to the elements (eV per atom): -0.18

No. 5
## Ce3Si6Pd20 (GGA-PBE)

Data for crystalline Ce3Si6Pd20 at its relaxed geometry.

a = 8.8602 Å, b = 8.8602 Å, c = 8.8602 Å
α = 60.00°, β = 60.00°, γ = 60.00°
Sites, in units of the cell vectors:
Ce (0.0000, 0.0000, 0.0000)
Ce (0.2500, 0.2500, 0.2500)
Ce (0.7500, 0.7500, 0.7500)
Si (0.2515, 0.2515, 0.7485)
Si (0.2515, 0.7485, 0.2515)
Si (0.2515, 0.7485, 0.7485)
Si (0.7485, 0.2515, 0.2515)
Si (0.7485, 0.2515, 0.7485)
Si (0.7485, 0.7485, 0.2515)
Pd (0.1237, 0.1237, 0.1237)
Pd (0.1237, 0.1237, 0.6288)
Pd (0.1237, 0.6288, 0.1237)
Pd (0.1519, 0.5000, 0.5000)
Pd (0.1519, 0.5000, 0.8481)
Pd (0.1519, 0.8481, 0.5000)
Pd (0.3712, 0.8763, 0.8763)
Pd (0.5000, 0.1519, 0.5000)
Pd (0.5000, 0.1519, 0.8481)
Pd (0.5000, 0.5000, 0.1519)
Pd (0.5000, 0.5000, 0.8481)
Pd (0.5000, 0.8481, 0.1519)
Pd (0.5000, 0.8481, 0.5000)
Pd (0.6288, 0.1237, 0.1237)
Pd (0.8481, 0.1519, 0.5000)
Pd (0.8481, 0.5000, 0.1519)
Pd (0.8481, 0.5000, 0.5000)
Pd (0.8763, 0.3712, 0.8763)
Pd (0.8763, 0.8763, 0.3712)
Pd (0.8763, 0.8763, 0.8763)

Summary:
Raw formation energy (meV/atom): -586

no.,total energy (eV/atom)
1,-5.328
2,-6.193
3,-6.407
4,-8.603
5,-5.903